The following is a GGA-PBEsol calculation of Cs7O after structural relaxation, from the Alexandria database.

```
data_Cs7O
_symmetry_space_group_name_H-M 'P 1'
_symmetry_Int_Tables_number 1
_symmetry_space_group_name_Hall 'P 1'
_cell_length_a 16.009
_cell_length_b 16.009
_cell_length_c 9.111
_cell_angle_alpha 90.00
_cell_angle_beta 90.00
_cell_angle_gamma 120.00
loop_
_atom_site_label
_atom_site_fract_x
_atom_site_fract_y
_atom_site_fract_z
Cs1 0.000 0.000 0.000
Cs2 0.100 0.550 0.000
Cs3 0.186 0.371 0.220
Cs4 0.186 0.371 0.780
Cs5 0.186 0.814 0.220
Cs6 0.186 0.814 0.780
Cs7 0.224 0.112 0.500
Cs8 0.333 0.667 0.204
Cs9 0.333 0.667 0.796
Cs10 0.430 0.215 0.000
Cs11 0.450 0.550 0.000
Cs12 0.450 0.900 0.000
Cs13 0.550 0.101 0.500
Cs14 0.550 0.450 0.500
Cs15 0.629 0.814 0.220
Cs16 0.629 0.814 0.780
Cs17 0.785 0.215 0.000
Cs18 0.785 0.570 0.000
Cs19 0.888 0.112 0.500
Cs20 0.888 0.776 0.500
Cs21 0.899 0.450 0.500
O1 0.252 0.503 0.000
O2 0.252 0.748 0.000
O3 0.497 0.748 0.000
```

Values from the calculation:
Total magnetic moment: 0.00 μB per cell
DFT total energy: -1.897 eV/atom
Formation energy from raw total energies: -0.42 eV/atom

=====

The following is a GGA-PBEsol calculation of Cs2O after structural relaxation, from the Alexandria database.

```
data_Cs2O
_symmetry_space_group_name_H-M 'P 1'
_symmetry_Int_Tables_number 1
_symmetry_space_group_name_Hall 'P 1'
_cell_length_a 6.326
_cell_length_b 7.066
_cell_length_c 4.241
_cell_angle_alpha 90.00
_cell_angle_beta 90.00
_cell_angle_gamma 90.00
loop_
_atom_site_label
_atom_site_fract_x
_atom_site_fract_y
_atom_site_fract_z
Cs1 0.093 0.245 0.000
Cs2 0.407 0.745 0.500
Cs3 0.593 0.255 0.500
Cs4 0.907 0.755 0.000
O1 0.000 0.000 0.500
O2 0.500 0.500 0.000
```

Values from the calculation:
Total magnetic moment: 0.00 μB per cell
DFT total energy: -3.354 eV/atom
Formation energy from raw total energies: -0.98 eV/atom

=====

The following is a GGA-PBEsol calculation of Cs2O after structural relaxation, from the Alexandria database.

```
data_Cs2O
_symmetry_space_group_name_H-M 'P 1'
_symmetry_Int_Tables_number 1
_symmetry_space_group_name_Hall 'P 1'
_cell_length_a 4.130
_cell_length_b 4.130
_cell_length_c 20.557
_cell_angle_alpha 90.00
_cell_angle_beta 90.00
_cell_angle_gamma 120.00
loop_
_atom_site_label
_atom_site_fract_x
_atom_site_fract_y
_atom_site_fract_z
Cs1 0.000 0.000 0.240
Cs2 0.000 0.000 0.760
Cs3 0.333 0.667 0.427
Cs4 0.333 0.667 0.907
Cs5 0.667 0.333 0.093
Cs6 0.667 0.333 0.573
O1 0.000 0.000 0.500
O2 0.333 0.667 0.167
O3 0.667 0.333 0.833
```

Values from the calculation:
Total magnetic moment: 0.00 μB per cell
DFT total energy: -3.421 eV/atom
Formation energy from raw total energies: -1.04 eV/atom

=====

The following is a GGA-PBEsol calculation of CsO after structural relaxation, from the Alexandria database.

```
data_CsO
_symmetry_space_group_name_H-M 'P 1'
_symmetry_Int_Tables_number 1
_symmetry_space_group_name_Hall 'P 1'
_cell_length_a 4.290
_cell_length_b 6.354
_cell_length_c 7.442
_cell_angle_alpha 90.00
_cell_angle_beta 90.00
_cell_angle_gamma 90.00
loop_
_atom_site_label
_atom_site_fract_x
_atom_site_fract_y
_atom_site_fract_z
Cs1 0.000 0.000 0.246
Cs2 0.000 0.000 0.754
Cs3 0.500 0.500 0.254
Cs4 0.500 0.500 0.746
O1 0.000 0.383 0.500
O2 0.000 0.617 0.500
O3 0.500 0.117 0.000
O4 0.500 0.883 0.000
```

Values from the calculation:
Total magnetic moment: 0.00 μB per cell
DFT total energy: -4.159 eV/atom
Formation energy from raw total energies: -1.06 eV/atom

=====

The following is a GGA-PBEsol calculation of CsOs2O6 after structural relaxation, from the Alexandria database.

```
data_CsOs2O6
_symmetry_space_group_name_H-M 'P 1'
_symmetry_Int_Tables_number 1
_symmetry_space_group_name_Hall 'P 1'
_cell_length_a 7.191
_cell_length_b 7.191
_cell_length_c 7.191
_cell_angle_alpha 60.00
_cell_angle_beta 60.00
_cell_angle_gamma 60.00
loop_
_atom_site_label
_atom_site_fract_x
_atom_site_fract_y
_atom_site_fract_z
Cs1 0.125 0.125 0.125
Cs2 0.875 0.875 0.875
Os1 0.000 0.500 0.500
Os2 0.500 0.000 0.500
Os3 0.500 0.500 0.000
Os4 0.500 0.500 0.500
O1 0.186 0.186 0.564
O2 0.186 0.564 0.186
O3 0.186 0.564 0.564
O4 0.436 0.436 0.814
O5 0.436 0.814 0.436
O6 0.436 0.814 0.814
O7 0.564 0.186 0.186
O8 0.564 0.186 0.564
O9 0.564 0.564 0.186
O10 0.814 0.436 0.436
O11 0.814 0.436 0.814
O12 0.814 0.814 0.436
```

Values from the calculation:
Total magnetic moment: 0.00 μB per cell
DFT total energy: -7.538 eV/atom
Formation energy from raw total energies: -1.22 eV/atom

=====

The following is a GGA-PBEsol calculation of CsP2OsO after structural relaxation, from the Alexandria database.

```
data_CsP2OsO
_symmetry_space_group_name_H-M 'P 1'
_symmetry_Int_Tables_number 1
_symmetry_space_group_name_Hall 'P 1'
_cell_length_a 4.949
_cell_length_b 4.949
_cell_length_c 3.824
_cell_angle_alpha 90.00
_cell_angle_beta 90.00
_cell_angle_gamma 90.00
loop_
_atom_site_label
_atom_site_fract_x
_atom_site_fract_y
_atom_site_fract_z
Cs1 0.000 0.000 0.000
P1 0.000 0.500 0.500
P2 0.500 0.000 0.500
Os1 0.500 0.500 0.500
O1 0.500 0.500 0.000
```

Values from the calculation:
Total magnetic moment: 0.00 μB per cell
DFT total energy: -5.832 eV/atom
Formation energy from raw total energies: 0.17 eV/atom

=====

The following is a GGA-PBEsol calculation of CsP3O after structural relaxation, from the Alexandria database.

```
data_CsP3O
_symmetry_space_group_name_H-M 'P 1'
_symmetry_Int_Tables_number 1
_symmetry_space_group_name_Hall 'P 1'
_cell_length_a 7.084
_cell_length_b 7.084
_cell_length_c 7.084
_cell_angle_alpha 90.00
_cell_angle_beta 90.00
_cell_angle_gamma 90.00
loop_
_atom_site_label
_atom_site_fract_x
_atom_site_fract_y
_atom_site_fract_z
Cs1 0.000 0.000 0.000
P1 0.000 0.000 0.500
P2 0.000 0.500 0.000
P3 0.500 0.000 0.000
O1 0.500 0.500 0.500
```

Values from the calculation:
Total magnetic moment: 10.00 μB per cell
DFT total energy: -2.190 eV/atom
Formation energy from raw total energies: 2.52 eV/atom

=====

The following is a GGA-PBEsol calculation of CsPrP4O12 after structural relaxation, from the Alexandria database.

```
data_CsPrP4O12
_symmetry_space_group_name_H-M 'P 1'
_symmetry_Int_Tables_number 1
_symmetry_space_group_name_Hall 'P 1'
_cell_length_a 7.176
_cell_length_b 9.246
_cell_length_c 8.844
_cell_angle_alpha 90.00
_cell_angle_beta 99.34
_cell_angle_gamma 90.00
loop_
_atom_site_label
_atom_site_fract_x
_atom_site_fract_y
_atom_site_fract_z
Cs1 0.172 0.000 0.176
Cs2 0.828 0.500 0.824
Pr1 0.300 0.165 0.698
Pr2 0.700 0.665 0.302
P1 0.144 0.539 0.544
P2 0.193 0.594 0.227
P3 0.417 0.392 0.070
P4 0.440 0.775 0.626
P5 0.560 0.275 0.374
P6 0.583 0.892 0.930
P7 0.807 0.094 0.773
P8 0.856 0.039 0.456
O1 0.010 0.138 0.816
O2 0.044 0.112 0.491
O3 0.159 0.402 0.634
O4 0.225 0.466 0.111
O5 0.225 0.507 0.388
O6 0.287 0.651 0.639
O7 0.345 0.705 0.232
O8 0.349 0.919 0.595
O9 0.359 0.320 0.920
O10 0.423 0.220 0.471
O11 0.423 0.998 0.909
O12 0.453 0.266 0.198
O13 0.547 0.766 0.802
O14 0.577 0.498 0.091
O15 0.577 0.720 0.529
O16 0.641 0.820 0.080
O17 0.651 0.419 0.405
O18 0.655 0.205 0.768
O19 0.713 0.151 0.361
O20 0.775 0.007 0.612
O21 0.775 0.966 0.889
O22 0.841 0.902 0.366
O23 0.956 0.612 0.509
O24 0.990 0.638 0.184
```

Values from the calculation:
Total magnetic moment: 0.00 μB per cell
DFT total energy: -7.602 eV/atom
Formation energy from raw total energies: -2.48 eV/atom

=====

The following is a GGA-PBEsol calculation of CsPrP4O12 after structural relaxation, from the Alexandria database.

```
data_CsPrP4O12
_symmetry_space_group_name_H-M 'P 1'
_symmetry_Int_Tables_number 1
_symmetry_space_group_name_Hall 'P 1'
_cell_length_a 10.541
_cell_length_b 9.113
_cell_length_c 13.046
_cell_angle_alpha 90.00
_cell_angle_beta 124.32
_cell_angle_gamma 90.00
loop_
_atom_site_label
_atom_site_fract_x
_atom_site_fract_y
_atom_site_fract_z
Cs1 0.231 0.066 0.041
Cs2 0.231 0.434 0.541
Cs3 0.769 0.566 0.459
Cs4 0.769 0.934 0.959
Pr1 0.316 0.726 0.817
Pr2 0.316 0.774 0.317
Pr3 0.684 0.226 0.683
Pr4 0.684 0.274 0.183
P1 0.031 0.030 0.283
P2 0.031 0.470 0.783
P3 0.200 0.602 0.024
P4 0.200 0.898 0.524
P5 0.324 0.174 0.363
P6 0.324 0.326 0.863
P7 0.386 0.094 0.741
P8 0.386 0.406 0.241
P9 0.614 0.594 0.759
P10 0.614 0.906 0.259
P11 0.676 0.674 0.137
P12 0.676 0.826 0.637
P13 0.800 0.102 0.476
P14 0.800 0.398 0.976
P15 0.969 0.530 0.217
P16 0.969 0.970 0.717
O1 0.044 0.539 0.902
O2 0.044 0.961 0.402
O3 0.074 0.581 0.722
O4 0.074 0.919 0.222
O5 0.125 0.598 0.297
O6 0.125 0.902 0.797
O7 0.159 0.159 0.343
O8 0.159 0.341 0.843
O9 0.162 0.705 0.093
O10 0.162 0.795 0.593
O11 0.265 0.052 0.598
O12 0.265 0.448 0.098
O13 0.277 0.207 0.755
O14 0.277 0.293 0.255
O15 0.301 0.656 0.986
O16 0.301 0.844 0.486
O17 0.368 0.036 0.329
O18 0.368 0.464 0.829
O19 0.423 0.536 0.323
O20 0.423 0.964 0.823
O21 0.428 0.244 0.488
O22 0.428 0.256 0.988
O23 0.485 0.679 0.746
O24 0.485 0.821 0.246
O25 0.515 0.179 0.754
O26 0.515 0.321 0.254
O27 0.572 0.744 0.012
O28 0.572 0.756 0.512
O29 0.577 0.036 0.177
O30 0.577 0.464 0.677
O31 0.632 0.536 0.171
O32 0.632 0.964 0.671
O33 0.699 0.156 0.514
O34 0.699 0.344 0.014
O35 0.723 0.707 0.745
O36 0.723 0.793 0.245
O37 0.735 0.552 0.902
O38 0.735 0.948 0.402
O39 0.838 0.205 0.407
O40 0.838 0.295 0.907
O41 0.841 0.659 0.157
O42 0.841 0.841 0.657
O43 0.875 0.098 0.203
O44 0.875 0.402 0.703
O45 0.926 0.081 0.778
O46 0.926 0.419 0.278
O47 0.956 0.039 0.598
O48 0.956 0.461 0.098
```

Values from the calculation:
Total magnetic moment: 0.00 μB per cell
DFT total energy: -7.603 eV/atom
Formation energy from raw total energies: -2.48 eV/atom

=====

The following is a GGA-PBEsol calculation of CsSb2PO8 after structural relaxation, from the Alexandria database.

```
data_CsSb2PO8
_symmetry_space_group_name_H-M 'P 1'
_symmetry_Int_Tables_number 1
_symmetry_space_group_name_Hall 'P 1'
_cell_length_a 9.843
_cell_length_b 9.843
_cell_length_c 13.793
_cell_angle_alpha 118.14
_cell_angle_beta 118.14
_cell_angle_gamma 42.91
loop_
_atom_site_label
_atom_site_fract_x
_atom_site_fract_y
_atom_site_fract_z
Cs1 0.113 0.113 0.427
Cs2 0.138 0.138 0.916
Cs3 0.862 0.862 0.084
Cs4 0.887 0.887 0.573
Sb1 0.045 0.543 0.769
Sb2 0.373 0.373 0.229
Sb3 0.451 0.451 0.737
Sb4 0.457 0.955 0.231
Sb5 0.543 0.045 0.769
Sb6 0.549 0.549 0.263
Sb7 0.627 0.627 0.771
Sb8 0.955 0.457 0.231
P1 0.342 0.342 0.438
P2 0.393 0.393 0.004
P3 0.607 0.607 0.996
P4 0.658 0.658 0.562
O1 0.088 0.499 0.190
O2 0.109 0.462 0.397
O3 0.160 0.160 0.188
O4 0.172 0.590 0.728
O5 0.195 0.551 0.932
O6 0.246 0.246 0.722
O7 0.284 0.646 0.259
O8 0.337 0.337 0.060
O9 0.354 0.716 0.741
O10 0.391 0.391 0.565
O11 0.405 0.405 0.394
O12 0.410 0.828 0.272
O13 0.449 0.805 0.068
O14 0.462 0.109 0.397
O15 0.488 0.488 0.092
O16 0.499 0.088 0.190
O17 0.501 0.912 0.810
O18 0.512 0.512 0.908
O19 0.538 0.891 0.603
O20 0.551 0.195 0.932
O21 0.590 0.172 0.728
O22 0.595 0.595 0.606
O23 0.609 0.609 0.435
O24 0.646 0.284 0.259
O25 0.663 0.663 0.940
O26 0.716 0.354 0.741
O27 0.754 0.754 0.278
O28 0.805 0.449 0.068
O29 0.828 0.410 0.272
O30 0.840 0.840 0.812
O31 0.891 0.538 0.603
O32 0.912 0.501 0.810
```

Values from the calculation:
Total magnetic moment: 0.00 μB per cell
DFT total energy: -6.611 eV/atom
Formation energy from raw total energies: -1.79 eV/atom

=====

The following is a GGA-PBEsol calculation of CsSmP4O12 after structural relaxation, from the Alexandria database.

```
data_CsSmP4O12
_symmetry_space_group_name_H-M 'P 1'
_symmetry_Int_Tables_number 1
_symmetry_space_group_name_Hall 'P 1'
_cell_length_a 10.403
_cell_length_b 8.993
_cell_length_c 12.938
_cell_angle_alpha 90.00
_cell_angle_beta 123.96
_cell_angle_gamma 90.00
loop_
_atom_site_label
_atom_site_fract_x
_atom_site_fract_y
_atom_site_fract_z
Cs1 0.226 0.065 0.041
Cs2 0.226 0.435 0.541
Cs3 0.774 0.565 0.459
Cs4 0.774 0.935 0.959
Sm1 0.316 0.726 0.817
Sm2 0.316 0.774 0.317
Sm3 0.684 0.226 0.683
Sm4 0.684 0.274 0.183
P1 0.030 0.028 0.284
P2 0.030 0.472 0.784
P3 0.200 0.606 0.026
P4 0.200 0.894 0.526
P5 0.327 0.174 0.367
P6 0.327 0.326 0.867
P7 0.388 0.093 0.742
P8 0.388 0.407 0.242
P9 0.612 0.593 0.758
P10 0.612 0.907 0.258
P11 0.673 0.674 0.133
P12 0.673 0.826 0.633
P13 0.800 0.106 0.474
P14 0.800 0.394 0.974
P15 0.970 0.528 0.216
P16 0.970 0.972 0.716
O1 0.042 0.543 0.904
O2 0.042 0.957 0.404
O3 0.076 0.583 0.724
O4 0.076 0.917 0.224
O5 0.126 0.597 0.296
O6 0.126 0.903 0.796
O7 0.159 0.159 0.346
O8 0.159 0.341 0.846
O9 0.163 0.709 0.097
O10 0.163 0.791 0.597
O11 0.268 0.050 0.599
O12 0.268 0.450 0.099
O13 0.280 0.207 0.757
O14 0.280 0.293 0.257
O15 0.299 0.663 0.984
O16 0.299 0.837 0.484
O17 0.371 0.032 0.333
O18 0.371 0.468 0.833
O19 0.424 0.540 0.324
O20 0.424 0.960 0.824
O21 0.431 0.244 0.492
O22 0.431 0.256 0.992
O23 0.480 0.678 0.744
O24 0.480 0.822 0.244
O25 0.520 0.178 0.756
O26 0.520 0.322 0.256
O27 0.569 0.744 0.008
O28 0.569 0.756 0.508
O29 0.576 0.040 0.176
O30 0.576 0.460 0.676
O31 0.629 0.532 0.167
O32 0.629 0.968 0.667
O33 0.701 0.163 0.516
O34 0.701 0.337 0.016
O35 0.720 0.707 0.743
O36 0.720 0.793 0.243
O37 0.732 0.550 0.901
O38 0.732 0.950 0.401
O39 0.837 0.209 0.403
O40 0.837 0.291 0.903
O41 0.841 0.659 0.154
O42 0.841 0.841 0.654
O43 0.874 0.097 0.204
O44 0.874 0.403 0.704
O45 0.924 0.083 0.776
O46 0.924 0.417 0.276
O47 0.958 0.043 0.596
O48 0.958 0.457 0.096
```

Values from the calculation:
Total magnetic moment: 0.00 μB per cell
DFT total energy: -7.606 eV/atom
Formation energy from raw total energies: -2.48 eV/atom

=====

The following is a GGA-PBEsol calculation of CsTbP4O12 after structural relaxation, from the Alexandria database.

```
data_CsTbP4O12
_symmetry_space_group_name_H-M 'P 1'
_symmetry_Int_Tables_number 1
_symmetry_space_group_name_Hall 'P 1'
_cell_length_a 7.018
_cell_length_b 9.058
_cell_length_c 8.710
_cell_angle_alpha 90.00
_cell_angle_beta 99.91
_cell_angle_gamma 90.00
loop_
_atom_site_label
_atom_site_fract_x
_atom_site_fract_y
_atom_site_fract_z
Cs1 0.170 0.000 0.176
Cs2 0.830 0.500 0.824
Tb1 0.302 0.835 0.698
Tb2 0.698 0.335 0.302
P1 0.140 0.468 0.540
P2 0.187 0.407 0.223
P3 0.418 0.607 0.066
P4 0.443 0.224 0.622
P5 0.557 0.724 0.378
P6 0.582 0.107 0.934
P7 0.813 0.907 0.777
P8 0.860 0.968 0.460
O1 0.020 0.859 0.818
O2 0.050 0.891 0.497
O3 0.156 0.606 0.634
O4 0.217 0.532 0.097
O5 0.219 0.504 0.381
O6 0.289 0.352 0.635
O7 0.347 0.296 0.235
O8 0.350 0.076 0.594
O9 0.369 0.681 0.913
O10 0.418 0.779 0.477
O11 0.419 0.999 0.905
O12 0.446 0.734 0.198
O13 0.554 0.234 0.802
O14 0.581 0.499 0.095
O15 0.582 0.279 0.523
O16 0.631 0.181 0.087
O17 0.650 0.576 0.406
O18 0.653 0.796 0.765
O19 0.711 0.852 0.365
O20 0.781 0.004 0.619
O21 0.783 0.032 0.903
O22 0.844 0.106 0.366
O23 0.950 0.391 0.503
O24 0.980 0.359 0.182
```

Values from the calculation:
Total magnetic moment: 0.00 μB per cell
DFT total energy: -7.604 eV/atom
Formation energy from raw total energies: -2.49 eV/atom

=====

Question: The lowest DFT total energy belongs to which entry?
Answer: CsSmP4O12

=====

Question: Look up the DFT total energy of the eleventh one.
Answer: -7.606 eV/atom

=====

Question: What is the total magnetic moment in the sixth record?
Answer: 0.00 μB per cell